Entry 1:
Here is an optimized crystal structure of Y2HoTl3Se6 from the Alexandria database. Energies are from PBE.

The value obtained for the density is 6.72 g/cm³. For the uncorrected formation energy, the calculation gives -16.707 eV/f.u.

It has space group C2/m (No. 12), with a = 7.245 Å, b = 12.550 Å, c = 8.138 Å, α = 90.00°, β = 107.27° and γ = 90.00°. Symmetry generates all atoms from Y at (0.000, 0.167, 0.000), Ho at (0.000, 0.500, 0.000), Tl at (0.000, 0.000, 0.500), Tl at (0.000, 0.333, 0.500), Se at (0.234, 0.334, 0.204) and Se at (0.236, 0.000, 0.204).

---

Entry 2:
Here is an optimized crystal structure of TaPbW from the Alexandria database. Energies are from PBE.

The value obtained for the density is 16.34 g/cm³. The energy above the most stable polymorph in this dataset is 0.436 eV/f.u. The formation energy comes out at 209 kJ/mol of formula units. For the density of states at the Fermi level, the calculation gives 0.56 states/eV/atom.

It has space group P3m1 (No. 156), with a = 4.7842 Å, b = 4.7842 Å, c = 2.9330 Å, α = 90.00°, β = 90.00° and γ = 120.00°. Symmetry generates all atoms from Ta at (0.0000, 0.0000, 0.0000), Pb at (0.3333, 0.6667, 0.6024) and W at (0.6667, 0.3333, 0.3152).

---

Entry 3:
Here is an optimized crystal structure of As3Au2 from the Alexandria database. Energies are from PBE.

The value obtained for the density is 9.78 g/cm³. The formation energy comes out at 92 kJ/mol of formula units. For the density of states at the Fermi level, the calculation gives 0.44 states/eV/atom.

It has space group P-3m1 (No. 164), with a = 4.3795 Å, b = 4.3795 Å, c = 6.3266 Å, α = 90.00°, β = 90.00° and γ = 120.00°. Symmetry generates all atoms from As at (0.0000, 0.0000, 0.0000), As at (0.3333, 0.6667, 0.3335) and Au at (0.3333, 0.6667, 0.7782).

---

Entry 4:
Here is an optimized crystal structure of HfAl4Ir5 from the Alexandria database. Energies are from PBE.

The value obtained for the density is 14.34 g/cm³. The formation energy comes out at -934 kJ/mol of formula units. For the density of states at the Fermi level, the calculation gives 0.15 states/eV/atom.

It has space group P4/mmm (No. 123), with a = 2.985 Å, b = 2.985 Å, c = 16.222 Å, α = 90.00°, β = 90.00° and γ = 90.00°. Symmetry generates all atoms from Hf at (0.000, 0.000, 0.000), Al at (0.000, 0.000, 0.213), Al at (0.000, 0.000, 0.405), Ir at (0.500, 0.500, 0.120), Ir at (0.500, 0.500, 0.312) and Ir at (0.500, 0.500, 0.500).

---

Entry 5:
Here is an optimized crystal structure of Sr3Ag2Hg5 from the Alexandria database. Energies are from PBE.

The value obtained for the density is 8.03 g/cm³. The formation energy comes out at -252 kJ/mol of formula units. For the density of states at the Fermi level, the calculation gives 0.50 states/eV/atom.

It has space group Ibam (No. 72), with a = 9.345 Å, b = 13.270 Å, c = 9.886 Å, α = 90.00°, β = 90.00° and γ = 90.00°. Symmetry generates all atoms from Sr at (0.000, 0.000, 0.250), Sr at (0.200, 0.360, 0.000), Ag at (0.046, 0.143, 0.000), Hg at (0.000, 0.253, 0.250), Hg at (0.000, 0.500, 0.250) and Hg at (0.156, 0.388, 0.500).

---

Entry 6:
Here is an optimized crystal structure of CeCdH from the Alexandria database. Energies are from PBE.

The value obtained for the density is 7.09 g/cm³. The energy above the most stable polymorph in this dataset is 0.000 eV/f.u. For the density of states at the Fermi level, the calculation gives 2.33 states/eV/atom.

It has space group P4/nmm (No. 129, origin choice 2), with a = 3.742 Å, b = 3.742 Å, c = 8.484 Å, α = 90.00°, β = 90.00° and γ = 90.00°. Symmetry generates all atoms from Ce at (0.250, 0.250, 0.162), Cd at (0.250, 0.250, 0.591) and H at (0.250, 0.750, 0.000).

---

Entry 7:
Here is an optimized crystal structure of Nd4Se3Cl from the Alexandria database. Energies are from PBE.

The value obtained for the density is 6.72 g/cm³. For the uncorrected formation energy, the calculation gives -13.619 eV/f.u. For the density of states at the Fermi level, the calculation gives 0.46 states/eV/atom.

It has space group R-3m (No. 166, hexagonal axes), with a = 4.2635 Å, b = 4.2635 Å, c = 39.9749 Å, α = 90.00°, β = 90.00° and γ = 120.00°. Symmetry generates all atoms from Nd at (0.0000, 0.0000, 0.1225), Nd at (0.0000, 0.0000, 0.3754), Se at (0.0000, 0.0000, 0.2518), Se at (0.0000, 0.0000, 0.5000) and Cl at (0.0000, 0.0000, 0.0000).

---

Entry 8:
Here is an optimized crystal structure of TiBeMo from the Alexandria database. Energies are from PBE.

The value obtained for the density is 6.21 g/cm³. The energy above the most stable polymorph in this dataset is 0.262 eV/f.u. The formation energy comes out at -13 kJ/mol of formula units. For the density of states at the Fermi level, the calculation gives 0.58 states/eV/atom.

It has space group I4mm (No. 107), with a = 3.208 Å, b = 3.208 Å, c = 7.941 Å, α = 90.00°, β = 90.00° and γ = 90.00°. Symmetry generates all atoms from Ti at (0.000, 0.000, 0.000), Be at (0.000, 0.000, 0.331) and Mo at (0.000, 0.000, 0.686).

---

Entry 9:
Here is an optimized crystal structure of Pu8Si3Ge from the Alexandria database. Energies are from PBE.

The value obtained for the density is 10.96 g/cm³. For the uncorrected formation energy, the calculation gives -1.284 eV/f.u. For the density of states at the Fermi level, the calculation gives 3.34 states/eV/atom.

It has space group C2/m (No. 12), with a = 10.057 Å, b = 10.064 Å, c = 8.057 Å, α = 90.00°, β = 128.38° and γ = 90.00°. Symmetry generates all atoms from Pu at (0.122, 0.000, 0.248), Pu at (0.126, 0.247, 0.752), Pu at (0.127, 0.500, 0.248), Si at (0.000, 0.000, 0.500), Si at (0.000, 0.250, 0.000) and Ge at (0.000, 0.500, 0.500).

---

Entry 10:
Here is an optimized crystal structure of LiHfN2O from the Alexandria database. Energies are from PBE.

The value obtained for the density is 5.05 g/cm³. For the uncorrected formation energy, the calculation gives -2.581 eV/f.u. For the density of states at the Fermi level, the calculation gives 0.40 states/eV/atom.

It has space group P4/mmm (No. 123), with a = 4.304 Å, b = 4.304 Å, c = 4.071 Å, α = 90.00°, β = 90.00° and γ = 90.00°. Symmetry generates all atoms from Li at (0.000, 0.000, 0.000), Hf at (0.500, 0.500, 0.500), N at (0.000, 0.500, 0.500) and O at (0.500, 0.500, 0.000).

---

Entry 11:
Here is an optimized crystal structure of Y5Ge3C from the Alexandria database. Energies are from PBE.

The value obtained for the density is 5.47 g/cm³. The formation energy comes out at -648 kJ/mol of formula units. For the density of states at the Fermi level, the calculation gives 0.83 states/eV/atom.

It has space group P6_3/mcm (No. 193), with a = 8.5238 Å, b = 8.5238 Å, c = 6.5029 Å, α = 90.00°, β = 90.00° and γ = 120.00°. Symmetry generates all atoms from Y at (0.0000, 0.2215, 0.2500), Y at (0.3333, 0.6667, 0.0000), Ge at (0.0000, 0.4107, 0.7500) and C at (0.0000, 0.0000, 0.0000).

---

Entry 12:
Here is an optimized crystal structure of LaTb2I8 from the Alexandria database. Energies are from PBE.

The value obtained for the density is 3.80 g/cm³. For the uncorrected formation energy, the calculation gives -13.787 eV/f.u. For the density of states at the Fermi level, the calculation gives 0.10 states/eV/atom.

It has space group C2/m (No. 12), with a = 15.283 Å, b = 11.367 Å, c = 7.422 Å, α = 90.00°, β = 92.60° and γ = 90.00°. Symmetry generates all atoms from La at (0.000, 0.000, 0.000), Tb at (0.183, 0.000, 0.648), I at (0.082, 0.206, 0.760), I at (0.138, 0.500, 0.229) and I at (0.182, 0.000, 0.247).

---

Entry 13:
Here is an optimized crystal structure of InBi2HPb from the Alexandria database. Energies are from PBE.

The value obtained for the density is 8.95 g/cm³. For the density of states at the Fermi level, the calculation gives 0.46 states/eV/atom. The calculation puts the final energy at -16.6 eV for the cell shown.

It has space group P4/mmm (No. 123), with a = 6.175 Å, b = 6.175 Å, c = 3.604 Å, α = 90.00°, β = 90.00° and γ = 90.00°. Symmetry generates all atoms from In at (0.000, 0.000, 0.000), Bi at (0.000, 0.500, 0.000), H at (0.000, 0.000, 0.500) and Pb at (0.500, 0.500, 0.500).

---

Entry 14:
Here is an optimized crystal structure of BRhI2N from the Alexandria database. Energies are from PBE.

The value obtained for the density is 5.42 g/cm³. The energy above the most stable polymorph in this dataset is 3.187 eV/f.u. For the uncorrected formation energy, the calculation gives 5.987 eV/f.u. For the density of states at the Fermi level, the calculation gives 0.51 states/eV/atom.

It has space group P4/mmm (No. 123), with a = 5.615 Å, b = 5.615 Å, c = 3.708 Å, α = 90.00°, β = 90.00° and γ = 90.00°. Symmetry generates all atoms from B at (0.000, 0.000, 0.000), Rh at (0.500, 0.500, 0.500), I at (0.000, 0.500, 0.500) and N at (0.500, 0.500, 0.000).

---

Entry 15:
Here is an optimized crystal structure of CePtPbO6 from the Alexandria database. Energies are from PBE.

The value obtained for the density is 8.45 g/cm³. For the uncorrected formation energy, the calculation gives -13.270 eV/f.u. For the density of states at the Fermi level, the calculation gives 0.20 states/eV/atom.

It has space group P-31c (No. 163), with a = 5.5093 Å, b = 5.5093 Å, c = 9.5467 Å, α = 90.00°, β = 90.00° and γ = 120.00°. Symmetry generates all atoms from Ce at (0.3333, 0.6667, 0.2500), Pt at (0.3333, 0.6667, 0.7500), Pb at (0.0000, 0.0000, 0.0000) and O at (0.0288, 0.3603, 0.6289).

---

Entry 16:
Here is an optimized crystal structure of SbTeAuN2 from the Alexandria database. Energies are from PBE.

The value obtained for the density is 7.38 g/cm³. The energy above the most stable polymorph in this dataset is 2.193 eV/f.u. For the uncorrected formation energy, the calculation gives 8.272 eV/f.u. For the density of states at the Fermi level, the calculation gives 0.52 states/eV/atom.

It has space group P4/mmm (No. 123), with a = 4.268 Å, b = 4.268 Å, c = 5.857 Å, α = 90.00°, β = 90.00° and γ = 90.00°. Symmetry generates all atoms from Sb at (0.000, 0.000, 0.000), Te at (0.500, 0.500, 0.000), Au at (0.500, 0.500, 0.500) and N at (0.000, 0.500, 0.500).

---

Entry 17:
Here is an optimized crystal structure of Mn2ZnOs from the Alexandria database. Energies are from PBE.

The value obtained for the density is 11.49 g/cm³. The formation energy comes out at 107 kJ/mol of formula units. For the density of states at the Fermi level, the calculation gives 1.21 states/eV/atom.

It has space group Cmm2 (No. 35), with a = 2.806 Å, b = 4.416 Å, c = 8.526 Å, α = 90.00°, β = 90.00° and γ = 90.00°. Symmetry generates all atoms from Mn at (0.000, 0.000, 0.000), Mn at (0.000, 0.500, 0.231), Zn at (0.000, 0.500, 0.748) and Os at (0.000, 0.000, 0.476).

---

Entry 18:
Here is an optimized crystal structure of MgMo2As from the Alexandria database. Energies are from PBE.

The value obtained for the density is 7.47 g/cm³. The energy above the most stable polymorph in this dataset is 1.141 eV/f.u. The formation energy comes out at 112 kJ/mol of formula units. For the density of states at the Fermi level, the calculation gives 0.76 states/eV/atom.

It has space group P4/mmm (No. 123), with a = 3.829 Å, b = 3.829 Å, c = 4.413 Å, α = 90.00°, β = 90.00° and γ = 90.00°. Symmetry generates all atoms from Mg at (0.000, 0.000, 0.000), Mo at (0.000, 0.500, 0.500) and As at (0.500, 0.500, 0.000).

---

Entry 19:
Here is an optimized crystal structure of FeBr3 from the Alexandria database. Energies are from PBE.

The value obtained for the density is 3.76 g/cm³. For the uncorrected formation energy, the calculation gives -0.087 eV/f.u. For the density of states at the Fermi level, the calculation gives 2.12 states/eV/atom.

It has space group I-42d (No. 122), with a = 7.347 Å, b = 7.347 Å, c = 9.685 Å, α = 90.00°, β = 90.00° and γ = 90.00°. Symmetry generates all atoms from Fe at (0.000, 0.000, 0.000), Br at (0.000, 0.000, 0.500) and Br at (0.139, 0.250, 0.125).

---

Entry 20:
Here is an optimized crystal structure of NbV2Se6 from the Alexandria database. Energies are from PBE.

The value obtained for the density is 5.28 g/cm³. The energy above the most stable polymorph in this dataset is 0.000 eV/f.u. For the uncorrected formation energy, the calculation gives -6.637 eV/f.u. For the density of states at the Fermi level, the calculation gives 0.38 states/eV/atom.

It has space group C2/m (No. 12), with a = 17.026 Å, b = 3.407 Å, c = 8.014 Å, α = 90.00°, β = 115.36° and γ = 90.00°. Symmetry generates all atoms from Nb at (0.000, 0.000, 0.000), V at (0.172, 0.500, 0.341), Se at (0.008, 0.500, 0.251), Se at (0.167, 0.000, 0.104) and Se at (0.171, 0.000, 0.569).